Compound: VCoO
Source: the Alexandria database
Functional: PBE with a Hubbard U
Structure: optimized geometry

a = 4.0223 Å, b = 5.9135 Å, c = 3.0887 Å
α = 90.00°, β = 90.00°, γ = 90.00°
With the nearest neighbours (Å) after each atom.
Sites, in units of the cell vectors:
O (0.5000, 0.4187, 0.0000)  4 V 2.05-2.07, 1 Co 2.21
Co (0.5000, 0.0445, 0.0000)  1 O 2.21
O (0.0000, 0.5813, 0.5000)  4 V 2.05-2.07, 1 Co 2.21
Co (0.0000, 0.9555, 0.5000)  1 O 2.21
V (0.0000, 0.3489, 0.0000)  4 O 2.05-2.07
V (0.5000, 0.6511, 0.5000)  4 O 2.05-2.07

Calculated values
Polymorph energy (0 for the lowest one)   0 meV per atom